[1]
Computed, not measured: a relaxed structure of Pu2PtS at the GGA-PBE level of DFT.

Properties
E_form (uncorrected) = -1064 meV per atom

Cell and atoms, written as CIF:
```
data_Pu2PtS
_cell_length_a 3.4517
_cell_length_b 3.4517
_cell_length_c 7.0846
_cell_angle_alpha 90.00
_cell_angle_beta 90.00
_cell_angle_gamma 90.00
_space_group_name_H-M_alt 'P 1'
_space_group_IT_number 1
_space_group_name_Hall 'P 1'
loop_
_atom_site_label
_atom_site_type_symbol
_atom_site_fract_x
_atom_site_fract_y
_atom_site_fract_z
Pu1 Pu 0.0000 0.0000 0.2441
Pu2 Pu 0.0000 0.0000 0.7559
Pt1 Pt 0.5000 0.5000 0.5000
S1 S 0.5000 0.5000 0.0000
```

=====

[2]
Computed, not measured: a relaxed structure of Pu2PtS at the GGA-PBE level of DFT.

Properties
E_form (uncorrected) = -1133 meV per atom

Cell and atoms, written as CIF:
```
data_Pu2PtS
_cell_length_a 7.3721
_cell_length_b 7.3721
_cell_length_c 7.3721
_cell_angle_alpha 31.05
_cell_angle_beta 31.05
_cell_angle_gamma 31.05
_space_group_name_H-M_alt 'P 1'
_space_group_IT_number 1
_space_group_name_Hall 'P 1'
loop_
_atom_site_label
_atom_site_type_symbol
_atom_site_fract_x
_atom_site_fract_y
_atom_site_fract_z
Pu1 Pu 0.2482 0.2482 0.2482
Pu2 Pu 0.7518 0.7518 0.7518
Pt1 Pt 0.0000 0.0000 0.0000
S1 S 0.5000 0.5000 0.5000
```